Re2AgMo (PBE, optimized geometry); energy relative to the elements = 0.37 eV per atom; total magnetic moment = 0.0 μB per formula unit; energy = -9.2746 eV per atom; excess energy over the best structure of this formula in the dataset = 86 meV/atom; space group = R-3m, No. 166
1.0
1.397 0.806 9.412
-1.397 0.806 9.412
0.000 -1.613 9.412
Re Ag Mo
2 1 1
Direct
0.245 0.245 0.245
0.755 0.755 0.755
0.000 0.000 0.000
0.500 0.500 0.500